A plane-wave DFT calculation with GGA-PBEsol was carried out for a relaxed structure of MnOs2Ru.

Computed properties:
calculated formation energy	0.51	eV per atom
density	16.25	g/cm³

Cell: 5.1851 5.1851 2.6364 Å, 103.48 103.48 119.32°
With the nearest neighbours (Å) after each atom.
Fractional positions:
Mn 0.0000 0.0000 0.0000  4 Ru 2.62-2.73, 4 Os 2.62, 2 Mn 2.64
Os 0.0000 0.5000 0.5000  6 Os 2.62-2.73, 2 Mn 2.62, 2 Ru 2.62
Os 0.5000 0.0000 0.5000  6 Os 2.62-2.73, 2 Mn 2.62, 2 Ru 2.62
Ru 0.5000 0.5000 0.0000  4 Mn 2.62-2.73, 4 Os 2.62, 2 Ru 2.64

A plane-wave DFT calculation with GGA-PBEsol was carried out for a relaxed structure of Mn4OsRu.

Computed properties:
calculated formation energy	0.04	eV per atom
density	12.39	g/cm³

Cell: 4.5923 4.5923 4.5923 Å, 60.00 60.00 60.00°
With the nearest neighbours (Å) after each atom.
Fractional positions:
Mn 0.3755 0.3755 0.3755  6 Mn 2.29-2.31
Mn 0.3755 0.3755 0.8734  6 Mn 2.29-2.31
Mn 0.3755 0.8734 0.3755  6 Mn 2.29-2.31
Mn 0.8734 0.3755 0.3755  6 Mn 2.29-2.31
Os 0.0000 0.0000 0.0000  12 Mn 2.69, 4 Ru 2.81
Ru 0.7500 0.7500 0.7500  12 Mn 2.69, 4 Os 2.81

A plane-wave DFT calculation with GGA-PBEsol was carried out for a relaxed structure of MnOsRu.

Computed properties:
calculated formation energy	0.85	eV per atom
density	12.07	g/cm³

Cell: 4.0692 4.0692 4.0692 Å, 60.00 60.00 60.00°
With the nearest neighbours (Å) after each atom.
Fractional positions:
Mn 0.0000 0.0000 0.0000  4 Ru 2.49
Os 0.5000 0.5000 0.5000  4 Ru 2.49
Ru 0.2500 0.2500 0.2500  4 Os 2.49, 4 Mn 2.49

A plane-wave DFT calculation with GGA-PBEsol was carried out for a relaxed structure of Mn2OsRu.

Computed properties:
calculated formation energy	0.38	eV per atom
density	12.77	g/cm³

Cell: 2.6118 2.6118 8.4099 Å, 90.00 90.00 114.57°
With the nearest neighbours (Å) after each atom.
Fractional positions:
Mn 0.0000 0.0000 0.2483  2 Ru 2.52, 2 Os 2.54, 4 Mn 2.61
Mn 0.0000 0.0000 0.7517  2 Ru 2.52, 2 Os 2.54, 4 Mn 2.61
Os 0.5000 0.5000 0.5000  4 Mn 2.54, 6 Os 2.61-2.82
Ru 0.5000 0.5000 0.0000  4 Mn 2.52, 4 Ru 2.61

A plane-wave DFT calculation with GGA-PBEsol was carried out for a relaxed structure of Mn2OsRu.

Computed properties:
calculated formation energy	0.11	eV per atom
density	13.64	g/cm³

Cell: 4.4361 4.4361 2.6077 Å, 90.00 90.00 107.91°
With the nearest neighbours (Å) after each atom.
Fractional positions:
Mn 0.0000 0.5000 0.0000  4 Os 2.57, 4 Ru 2.57, 4 Mn 2.61
Mn 0.5000 0.0000 0.0000  4 Os 2.57, 4 Ru 2.57, 4 Mn 2.61
Os 0.0000 0.0000 0.5000  8 Mn 2.57, 2 Os 2.61, 2 Ru 2.61
Ru 0.5000 0.5000 0.5000  8 Mn 2.57, 2 Ru 2.61, 2 Os 2.61

A plane-wave DFT calculation with GGA-PBEsol was carried out for a relaxed structure of Mn2OsRu.

Computed properties:
calculated formation energy	0.15	eV per atom
density	12.92	g/cm³

Cell: 4.1794 4.1794 2.9509 Å, 90.00 90.00 90.00°
With the nearest neighbours (Å) after each atom.
Fractional positions:
Mn 0.0000 0.5000 0.0000  4 Ru 2.56, 4 Os 2.56
Mn 0.5000 0.0000 0.0000  4 Ru 2.56, 4 Os 2.56
Os 0.0000 0.0000 0.5000  8 Mn 2.56
Ru 0.5000 0.5000 0.5000  8 Mn 2.56

A plane-wave DFT calculation with GGA-PBEsol was carried out for a relaxed structure of Mn2OsRu.

Computed properties:
calculated formation energy	0.37	eV per atom
density	12.78	g/cm³

Cell: 2.8463 4.1869 4.3725 Å, 90.00 90.00 90.00°
With the nearest neighbours (Å) after each atom.
Fractional positions:
Mn 0.0000 0.0000 0.0000  4 Ru 2.53, 4 Mn 2.61
Mn 0.5000 0.0000 0.5000  4 Os 2.53, 4 Mn 2.61
Os 0.0000 0.5000 0.5000  4 Mn 2.53, 4 Ru 2.61
Ru 0.5000 0.5000 0.0000  4 Mn 2.53, 4 Os 2.61

A plane-wave DFT calculation with GGA-PBEsol was carried out for a relaxed structure of Mn2OsRu.

Computed properties:
calculated formation energy	0.05	eV per atom
density	13.36	g/cm³

Cell: 4.5154 4.5154 4.5154 Å, 131.99 131.99 70.25°
With the nearest neighbours (Å) after each atom.
Fractional positions:
Mn 0.0000 0.0000 0.0000  4 Os 2.60, 4 Ru 2.60, 4 Mn 2.60
Mn 0.7500 0.2500 0.5000  4 Ru 2.60, 4 Mn 2.60, 4 Os 2.60
Os 0.5000 0.5000 0.0000  8 Mn 2.60, 4 Ru 2.60
Ru 0.2500 0.7500 0.5000  8 Mn 2.60, 4 Os 2.60

What did we get for calculated volume? Answer: 54.8 68.5 47.6 52.2 48.8 51.5 52.1 49.9 Å³/cell, in the order shown.